4
Lattice="-1.009 -4.907 2.505 2.158 -4.718 -2.111 4.116 -2.657 2.715" Properties=species:S:1:pos:R:3 comment="NdThBi2 (PBE-GGA, optimized geometry)" sg=Fm-3m mass_density_g_cm3=10.61 e_above_lowest_polymorph_ev_per_fu=0.680 pbc="T T T"
Nd 2.633 -6.141 1.554
Bi 1.316 -3.071 0.777
Bi 3.949 -9.212 2.332
Th 0.000 0.000 0.000


4
Lattice="4.608 0.000 0.000 2.304 3.991 0.000 2.304 1.330 7.500" Properties=species:S:1:pos:R:3 comment="NdThBi2 (PBE-GGA, optimized geometry)" sg=R-3m mass_density_g_cm3=9.56 e_above_lowest_polymorph_ev_per_fu=0.016 pbc="T T T"
Nd 4.608 2.660 3.750
Th 0.000 0.000 0.000
Bi 2.304 1.330 1.870
Bi 6.912 3.991 5.630


12
Lattice="-4.554 4.989 4.250 -7.696 -1.758 -1.188 -3.671 -5.263 4.742" Properties=species:S:1:pos:R:3 comment="Nd5ThBi6 (PBE-GGA, optimized geometry)" sg=C2/m mass_density_g_cm3=8.83 pbc="T T T"
Nd -6.007 -1.301 5.081
Nd -3.789 -2.337 1.182
Nd -6.125 1.616 1.531
Nd -7.577 -4.683 2.373
Nd -9.913 -0.731 2.723
Th 0.000 0.000 0.000
Bi -5.276 1.851 4.666
Bi -6.856 -1.531 1.940
Bi -3.049 0.807 0.765
Bi -9.200 2.424 2.297
Bi -9.064 -0.500 5.864
Bi -10.644 -3.883 3.138


14
Lattice="-6.049 3.001 -4.961 2.145 -7.701 -2.511 -2.817 -0.287 7.886" Properties=species:S:1:pos:R:3 comment="NdTh2Bi4 (PBE-GGA, optimized geometry)" sg=I-42d mass_density_g_cm3=10.59 e_above_lowest_polymorph_ev_per_fu=0.000 pbc="T T T"
Nd -4.168 -1.671 -3.005
Nd 0.000 0.000 0.000
Th -2.504 -5.826 1.855
Th -3.979 -1.565 1.509
Th -6.433 1.517 -0.710
Th -0.525 -4.100 -1.826
Bi -6.662 0.160 2.373
Bi -6.602 -1.853 -0.612
Bi -3.656 -4.046 -0.772
Bi -0.954 -2.878 1.301
Bi -3.248 0.647 -0.845
Bi -2.257 -3.927 -4.719
Bi -3.629 -1.315 4.857
Bi 0.125 -6.735 0.072


15
Lattice="8.092 0.247 2.794 2.069 7.827 2.794 0.311 0.247 8.556" Properties=species:S:1:pos:R:3 comment="NdTh6Bi8 (PBE-GGA, optimized geometry)" sg=R-3 mass_density_g_cm3=10.11 pbc="T T T"
Nd 0.000 0.000 0.000
Th 1.759 3.792 7.441
Th 4.550 7.464 8.059
Th 5.286 2.746 10.290
Th 5.186 5.576 3.854
Th 5.922 0.857 6.085
Th 8.712 4.529 6.704
Bi 3.122 5.230 10.022
Bi 2.580 6.461 5.671
Bi 3.417 1.053 8.233
Bi 6.988 5.553 9.438
Bi 3.484 2.768 4.706
Bi 7.055 7.268 5.911
Bi 7.892 1.860 8.473
Bi 7.349 3.091 4.123


8
Lattice="-2.977 -2.148 5.381 5.791 -0.914 2.839 -0.181 6.082 2.327" Properties=species:S:1:pos:R:3 comment="Nd3ThBi4 (PBE-GGA, optimized geometry)" sg=Pm-3m mass_density_g_cm3=9.01 pbc="T T T"
Nd 2.805 2.584 2.583
Nd -1.579 1.967 3.854
Nd 1.407 -1.531 4.110
Bi -1.488 -1.074 2.691
Bi 2.896 -0.457 1.420
Bi -0.091 3.041 1.164
Bi 1.317 1.510 5.274
Th 0.000 0.000 0.000


16
Lattice="7.995 0.000 4.579 2.686 7.530 4.579 0.035 0.025 9.206" Properties=species:S:1:pos:R:3 comment="Nd5Th3Bi8 (PBE-GGA, optimized geometry)" sg=R-3m mass_density_g_cm3=9.29 pbc="T T T"
Nd 3.997 0.000 2.290
Nd 5.340 3.765 4.579
Nd 0.000 0.000 0.000
Nd 1.343 3.765 2.290
Nd 5.358 3.778 9.183
Th 4.015 0.013 6.893
Th 0.018 0.013 4.603
Th 1.361 3.778 6.893
Bi 2.697 1.901 9.186
Bi 4.042 5.673 11.480
Bi 6.701 1.901 11.480
Bi 8.038 5.667 13.772
Bi 8.019 5.654 9.179
Bi 6.674 1.882 6.885
Bi 4.015 5.654 6.885
Bi 2.678 1.888 4.593


15
Lattice="-3.429 6.868 4.995 -5.288 -4.312 -6.146 1.929 -8.058 3.959" Properties=species:S:1:pos:R:3 comment="Nd4Th3Bi8 (PBE-GGA, optimized geometry)" sg=C2/m mass_density_g_cm3=8.97 pbc="T T T"
Nd -1.715 3.434 2.497
Nd -2.644 -2.156 -3.073
Nd 0.000 0.000 0.000
Nd 0.964 -4.029 1.980
Th -4.359 1.278 -0.575
Th -0.750 -0.595 4.477
Th -3.394 -2.751 1.404
Bi -2.645 0.340 2.015
Bi -3.431 -5.275 -3.546
Bi -0.874 -3.167 -0.550
Bi -5.201 -1.813 -1.126
Bi -1.587 -3.689 3.935
Bi -5.914 -2.334 3.358
Bi 0.072 -7.094 1.360
Bi -4.144 -5.842 0.794


4
Lattice="5.350 0.000 0.000 0.000 4.814 0.000 0.000 0.000 4.814" Properties=species:S:1:pos:R:3 comment="NdTh2Bi (PBE-GGA, optimized geometry)" sg=P4/mmm mass_density_g_cm3=10.94 e_above_lowest_polymorph_ev_per_fu=0.000 pbc="T T T"
Nd 2.675 0.000 0.000
Bi 2.675 2.407 2.407
Th 0.000 0.000 2.407
Th 0.000 2.407 0.000


12
Lattice="7.882 0.187 1.195 1.932 6.670 3.888 0.132 0.070 7.959" Properties=species:S:1:pos:R:3 comment="NdTh5Bi6 (PBE-GGA, optimized geometry)" sg=C2/m mass_density_g_cm3=10.29 pbc="T T T"
Nd 0.000 0.000 0.000
Bi 6.117 0.718 3.873
Bi 3.140 3.962 5.221
Bi 2.450 1.713 1.270
Bi 7.364 5.144 3.813
Bi 6.805 2.966 7.822
Bi 3.828 6.209 9.169
Th 4.350 1.248 6.560
Th 0.688 2.249 3.945
Th 4.907 3.429 2.542
Th 1.375 4.491 7.902
Th 5.596 5.680 6.483


4
Lattice="3.522 0.000 0.000 1.761 3.050 0.000 1.761 1.017 12.713" Properties=species:S:1:pos:R:3 comment="NdTh2Bi (PBE-GGA, optimized geometry)" sg=R-3m mass_density_g_cm3=9.94 e_above_lowest_polymorph_ev_per_fu=1.795 pbc="T T T"
Nd 3.522 2.034 6.356
Bi 0.000 0.000 0.000
Th 1.761 1.017 9.419
Th 5.284 3.050 3.294


4
Lattice="3.519 0.000 0.000 1.759 3.047 0.000 1.759 1.016 12.276" Properties=species:S:1:pos:R:3 comment="NdThBi2 (PBE-GGA, optimized geometry)" sg=R-3m mass_density_g_cm3=10.02 e_above_lowest_polymorph_ev_per_fu=2.570 pbc="T T T"
Nd 3.519 2.032 6.138
Bi 1.759 1.016 8.935
Bi 5.278 3.047 3.341
Th 0.000 0.000 0.000


no.,energy of formation from the pure elements (eV per atom)
1,-0.6008
2,-0.7668
3,-0.9025
4,-0.6689
5,-0.5256
6,-0.8609
7,-0.8192
8,-0.6802
9,-0.3040
10,-0.6265
11,0.1447
12,-0.1283